The following is a GGA-PBE calculation of KAlSe after structural relaxation, from Alexandria via LeMat-Bulk.

The structure in POSCAR format:
```
KAlSe
1.0
1.969 1.137 6.573
-1.969 1.137 6.573
0.000 -2.273 6.573
K Al Se
1 1 1
direct
0.000 0.000 0.000 K
0.525 0.525 0.525 Al
0.790 0.790 0.790 Se
```

Output
Its crystal system is trigonal. For the energy relative to the elements, uncorrected, the calculation gives -575 meV/atom. The space group is R3m.



The following is a GGA-PBE calculation of K2AlSiSe4 after structural relaxation, from Alexandria via LeMat-Bulk.

The structure in POSCAR format:
```
K2AlSiSe4
1.0
0.000 7.012 11.841
3.054 0.000 11.841
3.054 7.012 0.000
K Al Si Se
4 2 2 8
direct
0.056 0.056 0.694 K
0.306 0.306 0.944 K
0.694 0.694 0.056 K
0.944 0.944 0.306 K
0.125 0.125 0.125 Al
0.875 0.875 0.875 Al
0.375 0.375 0.375 Si
0.625 0.625 0.625 Si
0.032 0.328 0.412 Se
0.272 0.588 0.672 Se
0.328 0.032 0.728 Se
0.412 0.728 0.032 Se
0.588 0.272 0.968 Se
0.672 0.968 0.272 Se
0.728 0.412 0.328 Se
0.968 0.672 0.588 Se
```

Output
Its crystal system is orthorhombic. For the energy relative to the elements, uncorrected, the calculation gives -830 meV/atom. The space group is Fddd.



The following is a GGA-PBE calculation of KAl2SiSe after structural relaxation, from Alexandria via LeMat-Bulk.

The structure in POSCAR format:
```
KAl2SiSe
1.0
5.280 0.000 0.000
0.000 5.280 0.000
0.000 0.000 5.305
K Al Si Se
1 2 1 1
direct
0.000 0.000 0.000 K
0.000 0.500 0.500 Al
0.500 0.000 0.500 Al
0.500 0.500 0.000 Si
0.500 0.500 0.500 Se
```

Output
Its crystal system is tetragonal. For the energy relative to the elements, uncorrected, the calculation gives 579 meV/atom. The space group is P4/mmm.